(1)
YEr2Ga2 after structural relaxation, computed with PBE-GGA.

The structure belongs to space group C2/m (No. 12); the cell edges are 12.337, 3.688 and 5.824 Å and the angles 90.00°, 102.49° and 90.00°. The distinct sites, in fractional coordinates, are Y at (0.000, 0.000, 0.000), Er at (0.138, 0.500, 0.572) and Ga at (0.204, 0.500, 0.114).

For the formation energy, the calculation gives -390 meV per atom. For the energy, the calculation gives -47.187 eV/cell. For the distance to the lowest polymorph of the same formula, the calculation gives 0.130 eV/atom.

---

(2)
LiNdGdGa after structural relaxation, computed with PBE-GGA.

The structure belongs to space group F-43m (No. 216); the cell edges are 7.373, 7.373 and 7.373 Å and the angles 90.00°, 90.00° and 90.00°. The distinct sites, in fractional coordinates, are Li at (0.000, 0.000, 0.000), Nd at (0.250, 0.250, 0.750), Gd at (0.250, 0.250, 0.250) and Ga at (0.000, 0.000, 0.500).

For the formation energy, the calculation gives -303 meV per atom. For the energy, the calculation gives -100.007 eV/cell.

---

(3)
BaSrInPb after structural relaxation, computed with PBE-GGA.

The structure belongs to space group F-43m (No. 216); the cell edges are 8.417, 8.417 and 8.417 Å and the angles 90.00°, 90.00° and 90.00°. The distinct sites, in fractional coordinates, are Ba at (0.000, 0.000, 0.000), Sr at (0.000, 0.000, 0.500), In at (0.250, 0.250, 0.250) and Pb at (0.250, 0.250, 0.750).

For the formation energy, the calculation gives -457 meV per atom. For the energy, the calculation gives -47.511 eV/cell. For the distance to the lowest polymorph of the same formula, the calculation gives 0.044 eV/atom.

---

(4)
Tb2DyTmO6 after structural relaxation, computed with PBE-GGA.

The structure belongs to space group R3 (No. 146, hexagonal axes); the cell edges are 5.8074, 5.8074 and 15.1486 Å and the angles 90.00°, 90.00° and 120.00°. The distinct sites, in fractional coordinates, are Tb at (0.0000, 0.0000, 0.0000), Tb at (0.0000, 0.0000, 0.4989), Dy at (0.0000, 0.0000, 0.2175), Tm at (0.0000, 0.0000, 0.7154), O at (0.0441, 0.3671, 0.7763) and O at (0.0462, 0.6721, 0.2772).

For the energy, the calculation gives -250.682 eV/cell. The value obtained for the uncorrected formation energy is -3.5477 eV/atom.

---

(5)
CsSi2PdAu after structural relaxation, computed with PBE-GGA.

The structure belongs to space group P4/mmm (No. 123); the cell edges are 5.638, 5.638 and 5.636 Å and the angles 90.00°, 90.00° and 90.00°. The distinct sites, in fractional coordinates, are Cs at (0.000, 0.000, 0.000), Si at (0.000, 0.500, 0.000), Pd at (0.500, 0.500, 0.500) and Au at (0.000, 0.000, 0.500).

For the energy, the calculation gives -9.001 eV/cell. The value obtained for the uncorrected formation energy is 2.2338 eV/atom.